First-principles (GGA-PBE) data for crystalline PaTlPd at its relaxed geometry, as listed in the Open Quantum Materials Database.

The volume comes out at 24.77 Å³ per atom. For the distance to the lowest polymorph of the same formula, the calculation gives 0.0 kJ/mol of atoms. The magnetic moment is 0.001 μB per atom.

The structure in CIF format:
```
data_PaTlPd
_symmetry_space_group_name_H-M 'F -4 3 m'
_symmetry_Int_Tables_number 216
_symmetry_space_group_name_Hall 'F -4 2 3'
_cell_length_a 6.6742
_cell_length_b 6.6742
_cell_length_c 6.6742
_cell_angle_alpha 90.00
_cell_angle_beta 90.00
_cell_angle_gamma 90.00
loop_
_atom_site_label
_atom_site_type_symbol
_atom_site_fract_x
_atom_site_fract_y
_atom_site_fract_z
Pa1 Pa 0.0000 0.0000 0.0000
Tl1 Tl 0.0000 0.0000 0.5000
Pd1 Pd 0.2500 0.2500 0.2500
```

First-principles (GGA-PBE) data for crystalline NdSmSn at its relaxed geometry, as listed in the Open Quantum Materials Database.

The volume comes out at 34.57 Å³ per atom. For the distance to the lowest polymorph of the same formula, the calculation gives 0.0 kJ/mol of atoms. The magnetic moment is 0.013 μB per atom.

The structure in CIF format:
```
data_NdSmSn
_symmetry_space_group_name_H-M 'F -4 3 m'
_symmetry_Int_Tables_number 216
_symmetry_space_group_name_Hall 'F -4 2 3'
_cell_length_a 7.4583
_cell_length_b 7.4583
_cell_length_c 7.4583
_cell_angle_alpha 90.00
_cell_angle_beta 90.00
_cell_angle_gamma 90.00
loop_
_atom_site_label
_atom_site_type_symbol
_atom_site_fract_x
_atom_site_fract_y
_atom_site_fract_z
Nd1 Nd 0.0000 0.0000 0.0000
Sm1 Sm 0.0000 0.0000 0.5000
Sn1 Sn 0.2500 0.2500 0.2500
```

First-principles (GGA-PBE) data for crystalline TlHgPO at its relaxed geometry, as listed in the Open Quantum Materials Database.

The volume comes out at 22.05 Å³ per atom. For the distance to the lowest polymorph of the same formula, the calculation gives 0.0 kJ/mol of atoms.

The structure in CIF format:
```
data_TlHgPO
_symmetry_space_group_name_H-M 'P 1 m 1'
_symmetry_Int_Tables_number 6
_cell_length_a 3.3291
_cell_length_b 3.3220
_cell_length_c 15.9775
_cell_angle_alpha 90.00
_cell_angle_beta 93.31
_cell_angle_gamma 90.00
loop_
_symmetry_equiv_pos_as_xyz
'x,y,z'
'x,-y,z'
loop_
_atom_site_label
_atom_site_type_symbol
_atom_site_fract_x
_atom_site_fract_y
_atom_site_fract_z
Tl1 Tl 0.0000 0.0000 0.0000
Tl2 Tl 0.3324 0.0000 0.5465
Hg1 Hg 0.1688 0.5000 0.1940
Hg2 Hg 0.9305 0.5000 0.3484
P1 P 0.4094 0.0000 0.8181
P2 P 0.8861 0.0000 0.7318
O1 O 0.4474 0.5000 0.0793
O2 O 0.8098 0.5000 0.4741
```

First-principles (GGA-PBE) data for crystalline Zr4BiAsN2 at its relaxed geometry, as listed in the Open Quantum Materials Database.

The volume comes out at 17.13 Å³ per atom. The calculation puts the uncorrected energy at -8.58 eV per atom. The magnetic moment is 0.001 μB per atom.

The structure in CIF format:
```
data_Zr4BiAsN2
_symmetry_space_group_name_H-M 'P -6 m 2'
_symmetry_Int_Tables_number 187
_symmetry_space_group_name_Hall 'P -6 2'
_cell_length_a 3.4585
_cell_length_b 3.4585
_cell_length_c 13.2326
_cell_angle_alpha 90.00
_cell_angle_beta 90.00
_cell_angle_gamma 120.00
loop_
_atom_site_label
_atom_site_type_symbol
_atom_site_fract_x
_atom_site_fract_y
_atom_site_fract_z
Zr1 Zr 0.0000 0.0000 0.1433
Zr2 Zr 0.3333 0.6667 0.3216
Bi1 Bi 0.0000 0.0000 0.5000
As1 As 0.3333 0.6667 0.0000
N1 N 0.6667 0.3333 0.2341
```

First-principles (GGA-PBE) data for crystalline PaSiTe at its relaxed geometry, as listed in the Open Quantum Materials Database.

The volume comes out at 28.33 Å³ per atom. For the distance to the lowest polymorph of the same formula, the calculation gives 0.0 kJ/mol of atoms. The magnetic moment is 0.122 μB per atom.

The structure in CIF format:
```
data_PaSiTe
_symmetry_space_group_name_H-M 'F -4 3 m'
_symmetry_Int_Tables_number 216
_symmetry_space_group_name_Hall 'F -4 2 3'
_cell_length_a 6.9793
_cell_length_b 6.9793
_cell_length_c 6.9793
_cell_angle_alpha 90.00
_cell_angle_beta 90.00
_cell_angle_gamma 90.00
loop_
_atom_site_label
_atom_site_type_symbol
_atom_site_fract_x
_atom_site_fract_y
_atom_site_fract_z
Pa1 Pa 0.0000 0.0000 0.0000
Si1 Si 0.2500 0.2500 0.7500
Te1 Te 0.2500 0.2500 0.2500
```

First-principles (GGA-PBE) data for crystalline MgAsIrO at its relaxed geometry, as listed in the Open Quantum Materials Database.

The volume comes out at 13.97 Å³ per atom. For the distance to the lowest polymorph of the same formula, the calculation gives 143.8 kJ/mol of atoms. The magnetic moment is 0.004 μB per atom.

The structure in CIF format:
```
data_MgAsIrO
_symmetry_space_group_name_H-M 'P 4/n m m'
_symmetry_Int_Tables_number 129
_cell_length_a 3.8922
_cell_length_b 3.8922
_cell_length_c 7.3774
_cell_angle_alpha 90.00
_cell_angle_beta 90.00
_cell_angle_gamma 90.00
loop_
_symmetry_equiv_pos_as_xyz
'x,y,z'
'-x,-y,-z'
'-y+1/2,x,z'
'y+1/2,-x,-z'
'-x+1/2,-y+1/2,z'
'x+1/2,y+1/2,-z'
'y,-x+1/2,z'
'-y,x+1/2,-z'
'x+1/2,-y,-z'
'-x+1/2,y,z'
'-y,-x,-z'
'y,x,z'
'-x,y+1/2,-z'
'x,-y+1/2,z'
'y+1/2,x+1/2,-z'
'-y+1/2,-x+1/2,z'
loop_
_atom_site_label
_atom_site_type_symbol
_atom_site_fract_x
_atom_site_fract_y
_atom_site_fract_z
Mg1 Mg 0.2500 0.7500 0.0000
As1 As 0.2500 0.2500 0.2478
Ir1 Ir 0.2500 0.2500 0.6602
O1 O 0.2500 0.7500 0.5000
```

First-principles (GGA-PBE) data for crystalline HgH at its relaxed geometry, as listed in the Open Quantum Materials Database.

The volume comes out at 14.85 Å³ per atom. For the distance to the lowest polymorph of the same formula, the calculation gives 30.5 kJ/mol of atoms.

The structure in CIF format:
```
data_HgH
_symmetry_space_group_name_H-M 'F m -3 m'
_symmetry_Int_Tables_number 225
_symmetry_space_group_name_Hall '-F 4 2 3'
_cell_length_a 4.9158
_cell_length_b 4.9158
_cell_length_c 4.9158
_cell_angle_alpha 90.00
_cell_angle_beta 90.00
_cell_angle_gamma 90.00
loop_
_atom_site_label
_atom_site_type_symbol
_atom_site_fract_x
_atom_site_fract_y
_atom_site_fract_z
Hg1 Hg 0.0000 0.0000 0.0000
H1 H 0.0000 0.0000 0.5000
```

First-principles (GGA-PBE) data for crystalline SrLuMgS3 at its relaxed geometry, as listed in the Open Quantum Materials Database.

The volume comes out at 22.64 Å³ per atom. The calculation puts the uncorrected energy at -4.97 eV per atom. The magnetic moment is 0.098 μB per atom.

The structure in CIF format:
```
data_SrLuMgS3
_symmetry_space_group_name_H-M 'C m c m'
_symmetry_Int_Tables_number 63
_symmetry_space_group_name_Hall '-C 2c 2'
_cell_length_a 3.9495
_cell_length_b 13.4409
_cell_length_c 10.2358
_cell_angle_alpha 90.00
_cell_angle_beta 90.00
_cell_angle_gamma 90.00
loop_
_atom_site_label
_atom_site_type_symbol
_atom_site_fract_x
_atom_site_fract_y
_atom_site_fract_z
Sr1 Sr 0.0000 0.2493 0.2500
Lu1 Lu 0.0000 0.0000 0.0000
Mg1 Mg 0.0000 0.4720 0.7500
S1 S 0.0000 0.0785 0.7500
S2 S 0.0000 0.3641 0.5643
```

First-principles (GGA-PBE) data for crystalline SmGdPt2 at its relaxed geometry, as listed in the Open Quantum Materials Database.

The volume comes out at 23.04 Å³ per atom. For the energy relative to the elements, the calculation gives -1217 meV per atom. The magnetic moment is 0.002 μB per atom.

The structure in CIF format:
```
data_SmGdPt2
_symmetry_space_group_name_H-M 'A m m 2'
_symmetry_Int_Tables_number 38
_cell_length_a 4.5419
_cell_length_b 3.8056
_cell_length_c 10.6655
_cell_angle_alpha 90.00
_cell_angle_beta 90.00
_cell_angle_gamma 90.00
loop_
_symmetry_equiv_pos_as_xyz
'x,y,z'
'-x,-y,z'
'-x,y,z'
'x,-y,z'
'x,y+1/2,z+1/2'
'-x,-y+1/2,z+1/2'
'-x,y+1/2,z+1/2'
'x,-y+1/2,z+1/2'
loop_
_atom_site_label
_atom_site_type_symbol
_atom_site_fract_x
_atom_site_fract_y
_atom_site_fract_z
Sm1 Sm 0.0000 0.0000 0.0000
Gd1 Gd 0.5000 0.0000 0.7240
Pt1 Pt 0.0000 0.0000 0.2732
Pt2 Pt 0.5000 0.0000 0.4491
```

First-principles (GGA-PBE) data for crystalline GdMgCuTe3 at its relaxed geometry, as listed in the Open Quantum Materials Database.

The volume comes out at 26.33 Å³ per atom. For the distance to the lowest polymorph of the same formula, the calculation gives 2.4 kJ/mol of atoms. The magnetic moment is 0.000 μB per atom.

The structure in CIF format:
```
data_GdMgCuTe3
_symmetry_space_group_name_H-M 'P n m a'
_symmetry_Int_Tables_number 62
_cell_length_a 12.3739
_cell_length_b 4.1801
_cell_length_c 12.2169
_cell_angle_alpha 90.00
_cell_angle_beta 90.00
_cell_angle_gamma 90.00
loop_
_symmetry_equiv_pos_as_xyz
'x,y,z'
'-x,-y,-z'
'-x+1/2,-y,z+1/2'
'x+1/2,y,-z+1/2'
'x+1/2,-y+1/2,-z+1/2'
'-x+1/2,y+1/2,z+1/2'
'-x,y+1/2,-z'
'x,-y+1/2,z'
loop_
_atom_site_label
_atom_site_type_symbol
_atom_site_fract_x
_atom_site_fract_y
_atom_site_fract_z
Gd1 Gd 0.0441 0.2500 0.1933
Mg1 Mg 0.2168 0.2500 0.4641
Cu1 Cu 0.2404 0.7500 0.2831
Te1 Te 0.0565 0.7500 0.3793
Te2 Te 0.1031 0.2500 0.9335
Te3 Te 0.2006 0.7500 0.6656
```

First-principles (GGA-PBE) data for crystalline Gd3B7W at its relaxed geometry, as listed in the Open Quantum Materials Database.

The volume comes out at 12.22 Å³ per atom. The calculation puts the uncorrected energy at -7.24 eV per atom. The magnetic moment is 0.000 μB per atom.

The structure in CIF format:
```
data_Gd3B7W
_symmetry_space_group_name_H-M 'C m c m'
_symmetry_Int_Tables_number 63
_symmetry_space_group_name_Hall '-C 2c 2'
_cell_length_a 3.4907
_cell_length_b 16.1538
_cell_length_c 9.5392
_cell_angle_alpha 90.00
_cell_angle_beta 90.00
_cell_angle_gamma 90.00
loop_
_atom_site_label
_atom_site_type_symbol
_atom_site_fract_x
_atom_site_fract_y
_atom_site_fract_z
Gd1 Gd 0.0000 0.1065 0.0611
Gd2 Gd 0.0000 0.2440 0.7500
B1 B 0.0000 0.2727 0.0324
B2 B 0.0000 0.3649 0.1474
B3 B 0.0000 0.4587 0.7500
B4 B 0.0000 0.4793 0.0924
W1 W 0.0000 0.0544 0.7500
```

First-principles (GGA-PBE) data for crystalline ZnCu5Pt2 at its relaxed geometry, as listed in the Open Quantum Materials Database.

The volume comes out at 13.04 Å³ per atom. For the energy relative to the elements, the calculation gives -235 meV per atom. The magnetic moment is 0.000 μB per atom.

The structure in CIF format:
```
data_ZnCu5Pt2
_symmetry_space_group_name_H-M 'P b a m'
_symmetry_Int_Tables_number 55
_cell_length_a 5.2971
_cell_length_b 10.5850
_cell_length_c 3.7200
_cell_angle_alpha 90.00
_cell_angle_beta 90.00
_cell_angle_gamma 90.00
loop_
_symmetry_equiv_pos_as_xyz
'x,y,z'
'-x,-y,-z'
'-x,-y,z'
'x,y,-z'
'x+1/2,-y+1/2,-z'
'-x+1/2,y+1/2,z'
'-x+1/2,y+1/2,-z'
'x+1/2,-y+1/2,z'
loop_
_atom_site_label
_atom_site_type_symbol
_atom_site_fract_x
_atom_site_fract_y
_atom_site_fract_z
Zn1 Zn 0.0000 0.0000 0.0000
Cu1 Cu 0.0000 0.5000 0.0000
Cu2 Cu 0.0072 0.2515 0.0000
Cu3 Cu 0.2410 0.6278 0.5000
Pt1 Pt 0.2437 0.8763 0.5000
```